Entry 1:
## BeNiP3 (PBE)

Data for a geometry-optimized BeNiP3 structure.

a = 4.1478 Å, b = 4.1478 Å, c = 4.1478 Å
α = 90.00°, β = 90.00°, γ = 90.00°
Closest atoms and distances in Å follow each position.
Positions (direct):
P  0.0000  0.5000  0.0000  2 Be 2.07
Ni  0.5000  0.5000  0.5000  12 P 2.93
P  0.5000  0.0000  0.0000  2 Be 2.07
P  0.0000  0.0000  0.5000  2 Be 2.07
Be  0.0000  0.0000  0.0000  6 P 2.07

Its space group is Pm-3m (221). Its energy relative to the elements is 805.9 meV/atom.

Entry 2:
## PmNdHf (PBE)

Data for a geometry-optimized PmNdHf structure.

a = 3.4108 Å, b = 5.4793 Å, c = 5.4793 Å
α = 120.00°, β = 90.00°, γ = 90.00°
Closest atoms and distances in Å follow each position.
Positions (direct):
Nd  0.6667  0.6667  0.3333  2 Nd 3.41, 6 Hf 3.59, 6 Pm 3.59
Pm  0.1670  0.0000  0.0000  3 Hf 3.16, 2 Pm 3.41
Hf  0.1664  0.3333  0.6667  3 Pm 3.16, 2 Hf 3.41

Its space group is P-6m2 (187). Its energy relative to the elements is 269.9 meV/atom.

Entry 3:
## Sm2ScGa3Ir4 (PBE)

Data for a geometry-optimized Sm2ScGa3Ir4 structure.

a = 4.2075 Å, b = 4.2075 Å, c = 10.8937 Å
α = 90.00°, β = 90.00°, γ = 90.00°
Closest atoms and distances in Å follow each position.
Positions (direct):
Ga  0.5000  0.0000  0.8772  5 Ir 2.49-2.50
Ga  0.0000  0.0000  0.5000  4 Ir 2.65
Ir  0.5000  0.0000  0.6476  3 Ga 2.50-2.65, 2 Sc 2.65
Sm  0.0000  0.5000  0.7718  4 Ga 3.19, 8 Ir 3.26-3.27
Ir  0.0000  0.0000  0.0000  4 Ga 2.49
Ir  0.0000  0.5000  0.3524  3 Ga 2.50-2.65, 2 Sc 2.65
Sm  0.5000  0.0000  0.2282  4 Ga 3.19, 8 Ir 3.26-3.27
Ga  0.0000  0.5000  0.1228  5 Ir 2.49-2.50
Ir  0.5000  0.5000  0.0000  4 Ga 2.49
Sc  0.5000  0.5000  0.5000  4 Ir 2.65

Its space group is P-4m2 (115). Its energy relative to the elements is -755.8 meV/atom.

Entry 4:
## Pu2Al9Ir3 (PBE)

Data for a geometry-optimized Pu2Al9Ir3 structure.

a = 7.5947 Å, b = 7.5947 Å, c = 10.4648 Å
α = 89.97°, β = 111.16°, γ = 120.24°
Closest atoms and distances in Å follow each position.
Positions (direct):
Ir  0.8412  0.1710  0.4993  8 Al 2.56-2.63
Pu  0.3359  0.2487  0.7506  11 Al 3.04-3.13
Al  0.3288  0.2892  0.2482  2 Ir 2.56-2.58, 6 Al 2.75-2.85
Al  0.2134  0.6915  0.0719  3 Ir 2.59-2.62, 5 Al 2.77-2.89
Al  0.8792  0.1292  0.7500  2 Ir 2.57, 4 Al 2.75-2.78
Al  0.8702  0.0174  0.0564  3 Ir 2.59-2.63, 5 Al 2.75-2.88
Al  0.4590  0.9194  0.7482  2 Ir 2.56-2.58, 6 Al 2.75-2.85
Al  0.5500  0.3578  0.0744  3 Ir 2.58-2.63, 3 Al 2.78-2.81
Al  0.1298  0.9826  0.9436  3 Ir 2.59-2.63, 5 Al 2.75-2.88
Al  0.5410  0.0806  0.2518  2 Ir 2.56-2.58, 6 Al 2.75-2.85
Al  0.6712  0.7108  0.7518  2 Ir 2.56-2.58, 6 Al 2.75-2.85
Ir  0.8283  0.6581  0.9993  8 Al 2.56-2.63
Pu  0.9981  0.5854  0.7494  11 Al 3.04-3.13
Al  0.4500  0.6422  0.9256  3 Ir 2.58-2.63, 3 Al 2.78-2.81
Ir  0.1717  0.3419  0.0007  8 Al 2.56-2.63
Pu  0.0019  0.4146  0.2506  11 Al 3.04-3.13
Pu  0.6641  0.7513  0.2494  11 Al 3.04-3.13
Al  0.5390  0.1862  0.5564  3 Ir 2.59-2.63, 5 Al 2.75-2.88
Al  0.8804  0.8585  0.5719  3 Ir 2.59-2.62, 5 Al 2.77-2.89
Al  0.1208  0.8708  0.2500  2 Ir 2.57, 4 Al 2.75-2.78
Ir  0.1588  0.8290  0.5007  8 Al 2.56-2.63
Ir  0.5000  0.0000  0.0000  8 Al 2.58-2.62
Al  0.7833  0.4755  0.4256  3 Ir 2.58-2.63, 3 Al 2.78-2.81
Al  0.4610  0.8138  0.4436  3 Ir 2.59-2.63, 5 Al 2.75-2.88
Al  0.2167  0.5245  0.5744  3 Ir 2.58-2.63, 3 Al 2.78-2.81
Al  0.1196  0.1415  0.4281  3 Ir 2.59-2.62, 5 Al 2.77-2.89
Al  0.7866  0.3085  0.9281  3 Ir 2.59-2.62, 5 Al 2.77-2.89
Ir  0.5000  0.5000  0.5000  8 Al 2.58-2.62

Its space group is C2/c (15). Its energy relative to the elements is -710.8 meV/atom.

Entry 5:
## Ba4Pr3BiO12 (PBE)

Data for a geometry-optimized Ba4Pr3BiO12 structure.

a = 6.3313 Å, b = 6.3785 Å, c = 9.0059 Å
α = 90.03°, β = 89.83°, γ = 89.92°
Closest atoms and distances in Å follow each position.
Positions (direct):
O  0.5849  0.0318  0.7518  2 Pr 2.31-2.34
O  0.2979  0.7005  0.5483  2 Pr 2.32-2.34
Ba  0.4910  0.4685  0.7574  5 O 2.69-2.92
O  0.4151  0.9682  0.2482  2 Pr 2.31-2.34
Ba  0.5090  0.5315  0.2426  5 O 2.69-2.92
O  0.7021  0.2995  0.4517  2 Pr 2.32-2.34
Bi  0.0000  0.5000  0.0000  6 O 2.17
O  0.1991  0.2018  0.5432  2 Pr 2.31-2.33
O  0.2603  0.7138  0.9588  1 Bi 2.17, 1 Pr 2.40
Pr  0.0000  0.5000  0.5000  6 O 2.31-2.45
O  0.9213  0.5208  0.7658  1 Bi 2.17
O  0.7881  0.7618  0.0419  1 Bi 2.17, 1 Pr 2.40
Pr  0.5000  0.0000  0.0000  6 O 2.31-2.40
O  0.7397  0.2862  0.0412  1 Bi 2.17, 1 Pr 2.40
O  0.2119  0.2382  0.9581  1 Bi 2.17, 1 Pr 2.40
Pr  0.5000  0.0000  0.5000  6 O 2.33-2.34
Ba  0.0049  0.9694  0.7568  5 O 2.69-2.93
O  0.0787  0.4792  0.2342  1 Bi 2.17
Ba  0.9951  0.0306  0.2432  5 O 2.69-2.93
O  0.8009  0.7982  0.4568  2 Pr 2.31-2.33

Its space group is P-1 (2). Its uncorrected formation energy is -2435.7 meV per atom.

Entry 6:
## RbGaTe2 (PBE)

Data for a geometry-optimized RbGaTe2 structure.

a = 8.9619 Å, b = 4.2478 Å, c = 4.2478 Å
α = 120.21°, β = 103.77°, γ = 76.23°
Closest atoms and distances in Å follow each position.
Positions (direct):
Te  0.6811  0.7740  0.2260  3 Ga 2.90-2.92
Te  0.3189  0.2260  0.7740  3 Ga 2.90-2.92
Rb  0.0000  0.0000  0.0000  6 Te 3.68
Ga  0.5000  0.5000  0.5000  6 Te 2.90-2.92

Its space group is C2/m (12). Its uncorrected formation energy is -463.7 meV per atom.

Entry 7:
## ScTl2Ir (PBE)

Data for a geometry-optimized ScTl2Ir structure.

a = 5.7064 Å, b = 5.7064 Å, c = 4.9195 Å
α = 64.36°, β = 64.36°, γ = 37.87°
Closest atoms and distances in Å follow each position.
Positions (direct):
Sc  0.2133  0.2133  0.2852  2 Ir 2.58
Tl  0.9912  0.9912  0.0091  4 Ir 3.09-3.10, 4 Tl 3.25-3.26, 4 Sc 3.25-3.26
Tl  0.7694  0.7694  0.7295  4 Ir 3.08-3.40, 4 Sc 3.12-3.13, 4 Tl 3.25-3.26
Ir  0.5261  0.5261  0.4761  2 Sc 2.58

Its space group is Cm (8). Its energy relative to the elements is -29.2 meV/atom.

Entry 8:
## Tm3AgPd4 (PBE)

Data for a geometry-optimized Tm3AgPd4 structure.

a = 4.7858 Å, b = 6.8375 Å, c = 9.5747 Å
α = 90.00°, β = 90.00°, γ = 90.00°
Closest atoms and distances in Å follow each position.
Positions (direct):
Pd  0.5000  0.7532  0.0000  6 Tm 2.93-2.95, 2 Ag 2.95
Pd  0.9980  0.7532  0.2500  6 Tm 2.92-2.95, 2 Ag 2.95
Pd  0.0020  0.2468  0.7500  6 Tm 2.92-2.95, 2 Ag 2.95
Pd  0.0020  0.7532  0.7500  6 Tm 2.92-2.95, 2 Ag 2.95
Tm  0.4991  0.0000  0.2500  8 Pd 2.92-2.93
Tm  0.5009  0.0000  0.7500  8 Pd 2.92-2.93
Ag  0.0000  0.5000  0.5000  8 Pd 2.95
Tm  0.0000  0.0000  0.5000  8 Pd 2.93
Pd  0.9980  0.2468  0.2500  6 Tm 2.92-2.95, 2 Ag 2.95
Tm  0.5021  0.5000  0.7500  8 Pd 2.95
Pd  0.5000  0.2468  0.5000  6 Tm 2.93-2.95, 2 Ag 2.95
Tm  0.0000  0.0000  0.0000  8 Pd 2.93
Tm  0.4979  0.5000  0.2500  8 Pd 2.95
Ag  0.0000  0.5000  0.0000  8 Pd 2.95
Pd  0.5000  0.7532  0.5000  6 Tm 2.93-2.95, 2 Ag 2.95
Pd  0.5000  0.2468  0.0000  6 Tm 2.93-2.95, 2 Ag 2.95

Its space group is Pmma (51). Its energy relative to the elements is -791.9 meV/atom.

Number 1: M_tot 0.000 Bohr magnetons per cell. Number 2: M_tot 0.001 Bohr magnetons per cell. Number 3: M_tot 0.000 Bohr magnetons per cell. Number 4: M_tot 20.075 Bohr magnetons per cell. Number 5: M_tot 2.162 Bohr magnetons per cell. Number 6: M_tot 0.000 Bohr magnetons per cell. Number 7: M_tot 0.000 Bohr magnetons per cell. Number 8: M_tot 0.000 Bohr magnetons per cell.